1.
Below is an optimized crystal structure of Ba4CdSn3O12, with properties calculated at the GGA-PBE level.

Results
calculated total energy = -0.4362 Ry/atom
formation energy (no corrections) = -1.9297 eV per atom
total magnetic moment = 1.9 μB per formula unit

Cell lengths 7.3733, 7.3733, 7.3733 Å; angles 109.47, 109.47, 109.47 degrees
With the nearest neighbours (Å) after each atom.
Sites, in units of the cell vectors:
O 0.7500 0.5000 0.2500  2 Sn 2.13
O 0.2500 0.7500 0.5000  2 Sn 2.13
O 0.5000 0.7500 0.2500  2 Sn 2.13
O 0.7363 0.0000 0.7363  1 Sn 2.01, 1 Cd 2.24
O 0.7500 0.2500 0.5000  2 Sn 2.13
O 0.7363 0.7363 0.0000  1 Sn 2.01, 1 Cd 2.24
O 0.0000 0.7363 0.7363  1 Sn 2.01, 1 Cd 2.24
O 0.2637 0.2637 0.0000  1 Sn 2.01, 1 Cd 2.24
O 0.2500 0.5000 0.7500  2 Sn 2.13
O 0.2637 0.0000 0.2637  1 Sn 2.01, 1 Cd 2.24
O 0.0000 0.2637 0.2637  1 Sn 2.01, 1 Cd 2.24
O 0.5000 0.2500 0.7500  2 Sn 2.13
Ba 0.0000 0.0000 0.5000  12 O 3.01
Ba 0.5000 0.5000 0.5000  12 O 3.01
Ba 0.0000 0.5000 0.0000  12 O 3.01
Ba 0.5000 0.0000 0.0000  12 O 3.01
Sn 0.5000 0.0000 0.5000  6 O 2.01-2.13
Sn 0.0000 0.5000 0.5000  6 O 2.01-2.13
Sn 0.5000 0.5000 0.0000  6 O 2.01-2.13
Cd 0.0000 0.0000 0.0000  6 O 2.24



2.
Below is an optimized crystal structure of Ba12CdSn4O3, with properties calculated at the GGA-PBE level.

Results
calculated total energy = -0.2743 Ry/atom
formation energy (no corrections) = -0.9887 eV per atom
total magnetic moment = 1.7 μB per formula unit

Cell lengths 9.9196, 9.9196, 9.9196 Å; angles 109.47, 109.47, 109.47 degrees
With the nearest neighbours (Å) after each atom.
Sites, in units of the cell vectors:
Ba 0.7245 0.0000 0.7245  1 O 2.57
Ba 0.7245 0.7245 0.0000  1 O 2.57
Ba 0.2500 0.7500 0.5000  2 O 2.86
Ba 0.5000 0.7500 0.2500  2 O 2.86
Ba 0.2500 0.5000 0.7500  2 O 2.86
Ba 0.2755 0.0000 0.2755  1 O 2.57
Ba 0.2755 0.2755 0.0000  1 O 2.57
Ba 0.7500 0.2500 0.5000  2 O 2.86
Ba 0.7500 0.5000 0.2500  2 O 2.86
Ba 0.5000 0.2500 0.7500  2 O 2.86
Ba 0.0000 0.7245 0.7245  1 O 2.57
Ba 0.0000 0.2755 0.2755  1 O 2.57
Cd 0.0000 0.0000 0.0000  6 Ba 3.16
Sn 0.0000 0.5000 0.0000  12 Ba 4.05-4.06
Sn 0.5000 0.0000 0.0000  12 Ba 4.05-4.06
Sn 0.0000 0.0000 0.5000  12 Ba 4.05-4.06
Sn 0.5000 0.5000 0.5000  12 Ba 4.05-4.06
O 0.0000 0.5000 0.5000  6 Ba 2.57-2.86
O 0.5000 0.0000 0.5000  6 Ba 2.57-2.86
O 0.5000 0.5000 0.0000  6 Ba 2.57-2.86



3.
Below is an optimized crystal structure of BaCd2Sn2O7, with properties calculated at the GGA-PBE level.

Results
calculated total energy = -0.4005 Ry/atom
formation energy (no corrections) = -1.5764 eV per atom
total magnetic moment = 0.0 μB per formula unit

Cell lengths 4.1319, 4.4592, 10.0358 Å; angles 102.84, 101.88, 90.00 degrees
With the nearest neighbours (Å) after each atom.
Sites, in units of the cell vectors:
Cd 0.2714 0.7714 0.5428  5 O 2.24-2.31
Cd 0.7286 0.2286 0.4572  5 O 2.24-2.31
O 0.5000 0.5000 0.0000  2 Sn 2.04
O 0.8948 0.3948 0.7897  2 Sn 2.07
O 0.3909 0.8909 0.7818  2 Sn 2.23, 1 Cd 2.29
O 0.7174 0.7173 0.4347  1 Sn 2.12, 4 Cd 2.24-2.31
O 0.1052 0.6051 0.2103  2 Sn 2.07
O 0.6091 0.1091 0.2182  2 Sn 2.23, 1 Cd 2.29
O 0.2826 0.2826 0.5653  1 Sn 2.12, 4 Cd 2.24-2.31
Ba 0.0000 0.0000 0.0000  12 O 2.94-3.04
Sn 0.6066 0.6066 0.2132  6 O 2.04-2.23
Sn 0.3934 0.3934 0.7868  6 O 2.04-2.23



> Which formula does entry 3 have?

BaCd2Sn2O7



> The highest formation energy (no corrections) belongs to which entry?

Ba12CdSn4O3



Copy entry 2 word for word.
Below is an optimized crystal structure of Ba12CdSn4O3, with properties calculated at the GGA-PBE level.

Results
calculated total energy = -0.2743 Ry/atom
formation energy (no corrections) = -0.9887 eV per atom
total magnetic moment = 1.7 μB per formula unit

Cell lengths 9.9196, 9.9196, 9.9196 Å; angles 109.47, 109.47, 109.47 degrees
With the nearest neighbours (Å) after each atom.
Sites, in units of the cell vectors:
Ba 0.7245 0.0000 0.7245  1 O 2.57
Ba 0.7245 0.7245 0.0000  1 O 2.57
Ba 0.2500 0.7500 0.5000  2 O 2.86
Ba 0.5000 0.7500 0.2500  2 O 2.86
Ba 0.2500 0.5000 0.7500  2 O 2.86
Ba 0.2755 0.0000 0.2755  1 O 2.57
Ba 0.2755 0.2755 0.0000  1 O 2.57
Ba 0.7500 0.2500 0.5000  2 O 2.86
Ba 0.7500 0.5000 0.2500  2 O 2.86
Ba 0.5000 0.2500 0.7500  2 O 2.86
Ba 0.0000 0.7245 0.7245  1 O 2.57
Ba 0.0000 0.2755 0.2755  1 O 2.57
Cd 0.0000 0.0000 0.0000  6 Ba 3.16
Sn 0.0000 0.5000 0.0000  12 Ba 4.05-4.06
Sn 0.5000 0.0000 0.0000  12 Ba 4.05-4.06
Sn 0.0000 0.0000 0.5000  12 Ba 4.05-4.06
Sn 0.5000 0.5000 0.5000  12 Ba 4.05-4.06
O 0.0000 0.5000 0.5000  6 Ba 2.57-2.86
O 0.5000 0.0000 0.5000  6 Ba 2.57-2.86
O 0.5000 0.5000 0.0000  6 Ba 2.57-2.86



> Number 1 is which compound?

Ba4CdSn3O12